Arrangement 1

Compound: EuPuCo2
Source: Alexandria
Functional: PBE
Structure: optimized geometry

Geometry as extended XYZ:
```
4
Lattice="3.343 0.000 0.000 0.000 3.343 0.000 0.000 0.000 6.974" Properties=species:S:1:pos:R:3 pbc="T T T"
Eu 0.000 0.000 0.000
Pu 0.000 0.000 3.487
Co 1.672 1.672 2.086
Co 1.672 1.672 4.887
```

**DOS(E_F)**: 2.31 states/eV/atom
**Space group**: No. 123
**Magnetic moment**: 2.5667 μB per atom

Arrangement 2

Compound: EuPuCo2
Source: Alexandria
Functional: PBE
Structure: optimized geometry

Geometry as extended XYZ:
```
4
Lattice="2.095 1.210 5.453 -2.095 1.210 5.453 0.000 -2.419 5.453" Properties=species:S:1:pos:R:3 pbc="T T T"
Eu 0.000 0.000 0.000
Pu 0.000 0.000 8.179
Co 0.000 0.000 3.315
Co 0.000 0.000 13.043
```

**DOS(E_F)**: 4.00 states/eV/atom
**Space group**: No. 166
**Magnetic moment**: 0.8378 μB per atom

Relative to the most stable one, in eV/atom, the structures come out at arrangement 1 0.058; arrangement 2 0.000.